Material: LaBeRh2
Method: DFT, PBE
State: relaxed

CIF file:
```
data_LaBeRh2
_cell_length_a 3.9656
_cell_length_b 3.9656
_cell_length_c 5.7539
_cell_angle_alpha 69.83
_cell_angle_beta 69.83
_cell_angle_gamma 59.90
_space_group_name_H-M_alt 'P 1'
_space_group_IT_number 1
_space_group_name_Hall 'P 1'
loop_
_atom_site_label
_atom_site_type_symbol
_atom_site_fract_x
_atom_site_fract_y
_atom_site_fract_z
Be1 Be 0.4295 0.4295 0.7122
Rh1 Rh 0.0337 0.0337 0.8993
Rh2 Rh 0.7929 0.7929 0.6216
La1 La 0.2439 0.2439 0.2668
```

Results
VASP energy   -6.281 eV/atom